Entry 1:
Density functional theory data (PBE) for CdIr2Br after structural relaxation.

Results
total magnetic moment = 0.000 μB per formula unit
energy = -4.25 eV/atom
formation energy without anion corrections = 0.826 eV per atom
symmetry = P4/mmm
ΔE to the lowest computed polymorph = 512 meV/atom

The structure in extended XYZ format:
```
4
Lattice="-2.744 1.015 -0.623 -0.729 -0.192 2.895 2.414 7.188 1.084" Properties=species:S:1:pos:R:3 pbc="T T T"
Cd 0.074 5.803 1.949
Ir 1.176 3.503 0.528
Ir 0.031 0.091 0.014
Br -1.133 2.209 1.407
```

=====

Entry 2:
Density functional theory data (PBE) for CdIr2Br after structural relaxation.

Results
total magnetic moment = 0.000 μB per formula unit
energy = -4.41 eV/atom
formation energy without anion corrections = 0.667 eV per atom
symmetry = R-3m
ΔE to the lowest computed polymorph = 353 meV/atom

The structure in extended XYZ format:
```
4
Lattice="8.947 -0.032 -0.019 8.456 2.924 -0.019 8.456 1.405 2.565" Properties=species:S:1:pos:R:3 pbc="T T T"
Ir 13.015 2.163 1.272
Ir 25.773 4.283 2.518
Cd 19.394 3.223 1.895
Br 6.465 1.074 0.632
```

=====

Entry 3:
Density functional theory data (PBE) for CdIrBr after structural relaxation.

Results
total magnetic moment = 0.000 μB per formula unit
energy = -3.20 eV/atom
formation energy without anion corrections = 0.613 eV per atom
symmetry = P-6m2
ΔE to the lowest computed polymorph = 68 meV/atom

The structure in extended XYZ format:
```
3
Lattice="-3.302 0.164 -3.111 -0.403 -2.743 3.594 -1.453 2.400 1.669" Properties=species:S:1:pos:R:3 pbc="T T T"
Ir -2.580 0.227 2.750
Cd -2.819 -0.005 -0.320
Br -1.211 2.000 1.390
```

=====

> Look up the total magnetic moment of the second one.

0.000 μB per formula unit

=====

> Which value of energy does entry 1 give?

-4.25 eV/atom

=====

> The highest energy belongs to which entry?

CdIrBr